Computed, not measured: NdNiB2Ru after structural relaxation at the GGA-PBE level of DFT.

E_form ... -0.47 eV per atom
N(E_F) ... 1.9 states/eV/cell
Total energy ... -7.108 eV/atom

The structure in POSCAR format:
```
NdNiB2Ru
1.0
3.718 0.000 0.000
0.000 3.718 0.000
-1.859 -1.859 5.064
Nd Ni B Ru
1 1 2 1
Direct
0.000 0.000 0.000
0.250 0.750 0.500
0.656 0.656 0.311
0.344 0.344 0.689
0.750 0.250 0.500
```